Entry 1:
# SiBr3 GGA-PBEsol relaxed
data_SiBr3
_chemical_formula_sum 'Si3 Br9'
_cell_length_a 8.5898
_cell_length_b 8.5898
_cell_length_c 5.0130
_cell_angle_alpha 90.00
_cell_angle_beta 90.00
_cell_angle_gamma 120.00
_space_group_name_H-M_alt 'R -3 m'
_space_group_IT_number 166
_space_group_name_Hall '-R 3 2"'
loop_
_atom_site_label
_atom_site_type_symbol
_atom_site_fract_x
_atom_site_fract_y
_atom_site_fract_z
_atom_site_occupancy
Si1 Si 0.0000 0.0000 0.0000 1
Br1 Br 0.0000 0.5000 0.0000 1
# **Energy above the lowest structure with this stoichiometry**: 1103 meV/atom
# **ΔE_f (raw)**: 37.0 kJ/mol of atoms
# **Uncorrected energy**: -2.455 eV per atom
# **Magnetic moment**: 0.000 μB/atom

Entry 2:
# SbPtSe2 GGA-PBEsol relaxed
data_SbPtSe2
_chemical_formula_sum 'Sb2 Pt2 Se4'
_cell_length_a 5.497
_cell_length_b 5.497
_cell_length_c 5.413
_cell_angle_alpha 90.00
_cell_angle_beta 90.00
_cell_angle_gamma 90.00
_space_group_name_H-M_alt 'I 4/m m m'
_space_group_IT_number 139
_space_group_name_Hall '-I 4 2'
loop_
_atom_site_label
_atom_site_type_symbol
_atom_site_fract_x
_atom_site_fract_y
_atom_site_fract_z
_atom_site_occupancy
Sb1 Sb 0.000 0.000 0.000 1
Pt1 Pt 0.000 0.000 0.500 1
Se1 Se 0.000 0.500 0.000 1
# **ΔE_f (raw)**: -10.7 kJ/mol of atoms
# **Uncorrected energy**: -4.916 eV per atom
# **Magnetic moment**: 0.000 μB/atom

Entry 3:
# CrW4 GGA-PBEsol relaxed
data_CrW4
_chemical_formula_sum 'Cr2 W8'
_cell_length_a 6.921
_cell_length_b 6.921
_cell_length_c 3.104
_cell_angle_alpha 90.00
_cell_angle_beta 90.00
_cell_angle_gamma 90.00
_space_group_name_H-M_alt 'I 4/m'
_space_group_IT_number 87
_space_group_name_Hall '-I 4'
loop_
_atom_site_label
_atom_site_type_symbol
_atom_site_fract_x
_atom_site_fract_y
_atom_site_fract_z
_atom_site_occupancy
Cr1 Cr 0.000 0.000 0.000 1
W1 W 0.099 0.296 0.500 1
# **Uncorrected energy**: -13.034 eV per atom
# **Magnetic moment**: 0.000 μB/atom

Entry 4:
# CaGa2Ni2 GGA-PBEsol relaxed
data_CaGa2Ni2
_chemical_formula_sum 'Ca2 Ga4 Ni4'
_cell_length_a 3.927
_cell_length_b 3.927
_cell_length_c 10.465
_cell_angle_alpha 90.00
_cell_angle_beta 90.00
_cell_angle_gamma 90.00
_space_group_name_H-M_alt 'I 4/m m m'
_space_group_IT_number 139
_space_group_name_Hall '-I 4 2'
loop_
_atom_site_label
_atom_site_type_symbol
_atom_site_fract_x
_atom_site_fract_y
_atom_site_fract_z
_atom_site_occupancy
Ca1 Ca 0.000 0.000 0.000 1
Ga1 Ga 0.000 0.000 0.374 1
Ni1 Ni 0.000 0.500 0.250 1
# **Uncorrected energy**: -4.667 eV per atom
# **Magnetic moment**: 0.000 μB/atom

Entry 5:
# CaTl2TeAu GGA-PBEsol relaxed
data_CaTl2TeAu
_chemical_formula_sum 'Ca1 Tl2 Te1 Au1'
_cell_length_a 5.879
_cell_length_b 5.879
_cell_length_c 5.112
_cell_angle_alpha 90.00
_cell_angle_beta 90.00
_cell_angle_gamma 90.00
_space_group_name_H-M_alt 'P 4/m m m'
_space_group_IT_number 123
_space_group_name_Hall '-P 4 2'
loop_
_atom_site_label
_atom_site_type_symbol
_atom_site_fract_x
_atom_site_fract_y
_atom_site_fract_z
_atom_site_occupancy
Ca1 Ca 0.000 0.000 0.000 1
Tl1 Tl 0.000 0.500 0.000 1
Te1 Te 0.500 0.500 0.500 1
Au1 Au 0.000 0.000 0.500 1
# **ΔE_f (raw)**: 39.5 kJ/mol of atoms
# **Uncorrected energy**: -2.560 eV per atom
# **Magnetic moment**: 0.000 μB/atom

Entry 6:
# Sc2CdC GGA-PBEsol relaxed
data_Sc2CdC
_chemical_formula_sum 'Sc8 Cd4 C4'
_cell_length_a 6.410
_cell_length_b 6.410
_cell_length_c 6.410
_cell_angle_alpha 90.00
_cell_angle_beta 90.00
_cell_angle_gamma 90.00
_space_group_name_H-M_alt 'F m -3 m'
_space_group_IT_number 225
_space_group_name_Hall '-F 4 2 3'
loop_
_atom_site_label
_atom_site_type_symbol
_atom_site_fract_x
_atom_site_fract_y
_atom_site_fract_z
_atom_site_occupancy
Sc1 Sc 0.250 0.250 0.250 1
Cd1 Cd 0.000 0.000 0.000 1
C1 C 0.000 0.000 0.500 1
# **Uncorrected energy**: -5.495 eV per atom
# **Magnetic moment**: 0.000 μB/atom

Entry 7:
# LaSc2 GGA-PBEsol relaxed
data_LaSc2
_chemical_formula_sum 'La2 Sc4'
_cell_length_a 5.2980
_cell_length_b 5.2980
_cell_length_c 6.6370
_cell_angle_alpha 90.00
_cell_angle_beta 90.00
_cell_angle_gamma 120.00
_space_group_name_H-M_alt 'P 63/m m c'
_space_group_IT_number 194
_space_group_name_Hall '-P 6c 2c'
loop_
_atom_site_label
_atom_site_type_symbol
_atom_site_fract_x
_atom_site_fract_y
_atom_site_fract_z
_atom_site_occupancy
La1 La 0.3333 0.6667 0.2500 1
Sc1 Sc 0.0000 0.0000 0.0000 1
Sc2 Sc 0.3333 0.6667 0.7500 1
# **Energy above the lowest structure with this stoichiometry**: 59 meV/atom
# **Uncorrected energy**: -6.070 eV per atom
# **Magnetic moment**: 0.000 μB/atom

Entry 8:
# LaMnRu2 GGA-PBEsol relaxed
data_LaMnRu2
_chemical_formula_sum 'La2 Mn2 Ru4'
_cell_length_a 9.494
_cell_length_b 3.025
_cell_length_c 5.080
_cell_angle_alpha 90.00
_cell_angle_beta 104.41
_cell_angle_gamma 90.00
_space_group_name_H-M_alt 'C 1 m 1'
_space_group_IT_number 8
_space_group_name_Hall 'C -2y'
loop_
_atom_site_label
_atom_site_type_symbol
_atom_site_fract_x
_atom_site_fract_y
_atom_site_fract_z
_atom_site_occupancy
La1 La 0.000 0.000 0.000 1
Mn1 Mn 0.217 0.000 0.671 1
Ru1 Ru 0.265 0.500 0.338 1
Ru2 Ru 0.493 0.000 0.477 1
# **Uncorrected energy**: -8.504 eV per atom
# **Magnetic moment**: 0.764 μB/atom

Entry 9:
# LiZnRh2 GGA-PBEsol relaxed
data_LiZnRh2
_chemical_formula_sum 'Li1 Zn1 Rh2'
_cell_length_a 2.630
_cell_length_b 4.161
_cell_length_c 4.788
_cell_angle_alpha 90.00
_cell_angle_beta 94.21
_cell_angle_gamma 90.00
_space_group_name_H-M_alt 'P 1 2/m 1'
_space_group_IT_number 10
_space_group_name_Hall '-P 2y'
loop_
_atom_site_label
_atom_site_type_symbol
_atom_site_fract_x
_atom_site_fract_y
_atom_site_fract_z
_atom_site_occupancy
Li1 Li 0.000 0.000 0.000 1
Zn1 Zn 0.500 0.000 0.500 1
Rh1 Rh 0.235 0.500 0.759 1
# **Uncorrected energy**: -5.122 eV per atom
# **Magnetic moment**: 0.000 μB/atom

Entry 10:
# CaCu2 GGA-PBEsol relaxed
data_CaCu2
_chemical_formula_sum 'Ca2 Cu4'
_cell_length_a 3.993
_cell_length_b 3.993
_cell_length_c 6.968
_cell_angle_alpha 90.00
_cell_angle_beta 90.00
_cell_angle_gamma 90.00
_space_group_name_H-M_alt 'P 4/n m m'
_space_group_IT_number 129
loop_
_space_group_symop_operation_xyz
'x,y,z'
'-x,-y,-z'
'-y+1/2,x,z'
'y+1/2,-x,-z'
'-x+1/2,-y+1/2,z'
'x+1/2,y+1/2,-z'
'y,-x+1/2,z'
'-y,x+1/2,-z'
'x+1/2,-y,-z'
'-x+1/2,y,z'
'-y,-x,-z'
'y,x,z'
'-x,y+1/2,-z'
'x,-y+1/2,z'
'y+1/2,x+1/2,-z'
'-y+1/2,-x+1/2,z'
loop_
_atom_site_label
_atom_site_type_symbol
_atom_site_fract_x
_atom_site_fract_y
_atom_site_fract_z
_atom_site_occupancy
Ca1 Ca 0.250 0.250 0.173 1
Cu1 Cu 0.250 0.250 0.704 1
Cu2 Cu 0.250 0.750 0.500 1
# **Uncorrected energy**: -3.639 eV per atom
# **Magnetic moment**: 0.000 μB/atom

Entry 11:
# SnBi3Os GGA-PBEsol relaxed
data_SnBi3Os
_chemical_formula_sum 'Sn1 Bi3 Os1'
_cell_length_a 5.568
_cell_length_b 5.568
_cell_length_c 5.568
_cell_angle_alpha 90.00
_cell_angle_beta 90.00
_cell_angle_gamma 90.00
_space_group_name_H-M_alt 'P m -3 m'
_space_group_IT_number 221
_space_group_name_Hall '-P 4 2 3'
loop_
_atom_site_label
_atom_site_type_symbol
_atom_site_fract_x
_atom_site_fract_y
_atom_site_fract_z
_atom_site_occupancy
Sn1 Sn 0.000 0.000 0.000 1
Bi1 Bi 0.000 0.000 0.500 1
Os1 Os 0.500 0.500 0.500 1
# **Uncorrected energy**: -3.851 eV per atom
# **Magnetic moment**: 0.520 μB/atom

Entry 12:
# CuTcSbTe2 GGA-PBEsol relaxed
data_CuTcSbTe2
_chemical_formula_sum 'Cu1 Tc1 Sb1 Te2'
_cell_length_a 5.037
_cell_length_b 5.037
_cell_length_c 4.864
_cell_angle_alpha 90.00
_cell_angle_beta 90.00
_cell_angle_gamma 90.00
_space_group_name_H-M_alt 'P 4/m m m'
_space_group_IT_number 123
_space_group_name_Hall '-P 4 2'
loop_
_atom_site_label
_atom_site_type_symbol
_atom_site_fract_x
_atom_site_fract_y
_atom_site_fract_z
_atom_site_occupancy
Cu1 Cu 0.000 0.000 0.000 1
Tc1 Tc 0.500 0.500 0.500 1
Sb1 Sb 0.000 0.000 0.500 1
Te1 Te 0.000 0.500 0.000 1
# **ΔE_f (raw)**: 109.5 kJ/mol of atoms
# **Uncorrected energy**: -4.308 eV per atom
# **Magnetic moment**: 0.622 μB/atom

Entry 13:
# IrRuOF2 GGA-PBEsol relaxed
data_IrRuOF2
_chemical_formula_sum 'Ir1 Ru1 O1 F2'
_cell_length_a 4.208
_cell_length_b 4.208
_cell_length_c 3.632
_cell_angle_alpha 90.00
_cell_angle_beta 90.00
_cell_angle_gamma 90.00
_space_group_name_H-M_alt 'P 4/m m m'
_space_group_IT_number 123
_space_group_name_Hall '-P 4 2'
loop_
_atom_site_label
_atom_site_type_symbol
_atom_site_fract_x
_atom_site_fract_y
_atom_site_fract_z
_atom_site_occupancy
Ir1 Ir 0.000 0.000 0.000 1
Ru1 Ru 0.500 0.500 0.500 1
O1 O 0.500 0.500 0.000 1
F1 F 0.000 0.500 0.500 1
# **ΔE_f (raw)**: 26.8 kJ/mol of atoms
# **Uncorrected energy**: -5.542 eV per atom
# **Magnetic moment**: 0.414 μB/atom

Entry 14:
# Al2PbSeCl GGA-PBEsol relaxed
data_Al2PbSeCl
_chemical_formula_sum 'Al2 Pb1 Se1 Cl1'
_cell_length_a 5.017
_cell_length_b 5.017
_cell_length_c 5.002
_cell_angle_alpha 90.00
_cell_angle_beta 90.00
_cell_angle_gamma 90.00
_space_group_name_H-M_alt 'P 4/m m m'
_space_group_IT_number 123
_space_group_name_Hall '-P 4 2'
loop_
_atom_site_label
_atom_site_type_symbol
_atom_site_fract_x
_atom_site_fract_y
_atom_site_fract_z
_atom_site_occupancy
Al1 Al 0.000 0.500 0.000 1
Pb1 Pb 0.000 0.000 0.500 1
Se1 Se 0.500 0.500 0.500 1
Cl1 Cl 0.500 0.500 0.000 1
# **ΔE_f (raw)**: 39.4 kJ/mol of atoms
# **Uncorrected energy**: -3.199 eV per atom
# **Magnetic moment**: 0.000 μB/atom

Entry 15:
# FeNiP6 GGA-PBEsol relaxed
data_FeNiP6
_chemical_formula_sum 'Fe4 Ni4 P24'
_cell_length_a 10.841
_cell_length_b 7.682
_cell_length_c 7.672
_cell_angle_alpha 90.00
_cell_angle_beta 134.90
_cell_angle_gamma 90.00
_space_group_name_H-M_alt 'C 1 2/m 1'
_space_group_IT_number 12
_space_group_name_Hall '-C 2y'
loop_
_atom_site_label
_atom_site_type_symbol
_atom_site_fract_x
_atom_site_fract_y
_atom_site_fract_z
_atom_site_occupancy
Fe1 Fe 0.250 0.250 0.000 1
Ni1 Ni 0.250 0.250 0.500 1
P1 P 0.006 0.147 0.657 1
P2 P 0.146 0.348 0.141 1
P3 P 0.147 0.500 0.502 1
P4 P 0.157 0.500 0.805 1
# **Uncorrected energy**: -6.732 eV per atom
# **Magnetic moment**: 0.000 μB/atom

Entry 16:
# Nd2Ir7 GGA-PBEsol relaxed
data_Nd2Ir7
_chemical_formula_sum 'Nd12 Ir42'
_cell_length_a 5.3035
_cell_length_b 5.3035
_cell_length_c 39.0953
_cell_angle_alpha 90.00
_cell_angle_beta 90.00
_cell_angle_gamma 120.00
_space_group_name_H-M_alt 'R -3 m'
_space_group_IT_number 166
_space_group_name_Hall '-R 3 2"'
loop_
_atom_site_label
_atom_site_type_symbol
_atom_site_fract_x
_atom_site_fract_y
_atom_site_fract_z
_atom_site_occupancy
Nd1 Nd 0.0000 0.0000 0.0504 1
Nd2 Nd 0.0000 0.0000 0.1478 1
Ir1 Ir 0.0000 0.0000 0.2779 1
Ir2 Ir 0.0000 0.0000 0.3886 1
Ir3 Ir 0.0000 0.0000 0.5000 1
Ir4 Ir 0.0000 0.5000 0.0000 1
Ir5 Ir 0.0010 0.5005 0.1093 1
# **Uncorrected energy**: -9.193 eV per atom
# **Magnetic moment**: 0.000 μB/atom

Entry 17:
# PtO2F2 GGA-PBEsol relaxed
data_PtO2F2
_chemical_formula_sum 'Pt1 O2 F2'
_cell_length_a 3.818
_cell_length_b 3.818
_cell_length_c 3.524
_cell_angle_alpha 90.00
_cell_angle_beta 90.00
_cell_angle_gamma 90.00
_space_group_name_H-M_alt 'P 4/m m m'
_space_group_IT_number 123
_space_group_name_Hall '-P 4 2'
loop_
_atom_site_label
_atom_site_type_symbol
_atom_site_fract_x
_atom_site_fract_y
_atom_site_fract_z
_atom_site_occupancy
Pt1 Pt 0.000 0.000 0.000 1
O1 O 0.500 0.500 0.000 1
O2 O 0.500 0.500 0.500 1
F1 F 0.000 0.500 0.500 1
# **ΔE_f (raw)**: 95.4 kJ/mol of atoms
# **Uncorrected energy**: -3.274 eV per atom
# **Magnetic moment**: 0.399 μB/atom

Entry 18:
# Rb2BeGaSe GGA-PBEsol relaxed
data_Rb2BeGaSe
_chemical_formula_sum 'Rb2 Be1 Ga1 Se1'
_cell_length_a 6.633
_cell_length_b 6.633
_cell_length_c 4.069
_cell_angle_alpha 90.00
_cell_angle_beta 90.00
_cell_angle_gamma 90.00
_space_group_name_H-M_alt 'P 4/m m m'
_space_group_IT_number 123
_space_group_name_Hall '-P 4 2'
loop_
_atom_site_label
_atom_site_type_symbol
_atom_site_fract_x
_atom_site_fract_y
_atom_site_fract_z
_atom_site_occupancy
Rb1 Rb 0.000 0.500 0.000 1
Be1 Be 0.000 0.000 0.500 1
Ga1 Ga 0.500 0.500 0.500 1
Se1 Se 0.000 0.000 0.000 1
# **ΔE_f (raw)**: 13.4 kJ/mol of atoms
# **Uncorrected energy**: -2.509 eV per atom
# **Magnetic moment**: 0.241 μB/atom

Entry 19:
# Mg2HRuPt GGA-PBEsol relaxed
data_Mg2HRuPt
_chemical_formula_sum 'Mg2 H1 Ru1 Pt1'
_cell_length_a 4.309
_cell_length_b 4.309
_cell_length_c 3.405
_cell_angle_alpha 90.00
_cell_angle_beta 90.00
_cell_angle_gamma 90.00
_space_group_name_H-M_alt 'P 4/m m m'
_space_group_IT_number 123
_space_group_name_Hall '-P 4 2'
loop_
_atom_site_label
_atom_site_type_symbol
_atom_site_fract_x
_atom_site_fract_y
_atom_site_fract_z
_atom_site_occupancy
Mg1 Mg 0.000 0.500 0.000 1
H1 H 0.000 0.000 0.000 1
Ru1 Ru 0.000 0.000 0.500 1
Pt1 Pt 0.500 0.500 0.500 1
# **Uncorrected energy**: -5.106 eV per atom
# **Magnetic moment**: 0.000 μB/atom

Entry 20:
# SbMoNO2 GGA-PBEsol relaxed
data_SbMoNO2
_chemical_formula_sum 'Sb1 Mo1 N1 O2'
_cell_length_a 3.884
_cell_length_b 3.884
_cell_length_c 4.060
_cell_angle_alpha 90.00
_cell_angle_beta 90.00
_cell_angle_gamma 90.00
_space_group_name_H-M_alt 'P 4/m m m'
_space_group_IT_number 123
_space_group_name_Hall '-P 4 2'
loop_
_atom_site_label
_atom_site_type_symbol
_atom_site_fract_x
_atom_site_fract_y
_atom_site_fract_z
_atom_site_occupancy
Sb1 Sb 0.000 0.000 0.000 1
Mo1 Mo 0.500 0.500 0.500 1
N1 N 0.500 0.500 0.000 1
O1 O 0.000 0.500 0.500 1
# **ΔE_f (raw)**: -69.7 kJ/mol of atoms
# **Uncorrected energy**: -7.793 eV per atom
# **Magnetic moment**: 0.000 μB/atom